Density functional theory data (PBE) for a relaxed Li5Ca2Pb2 crystal.

Cell lengths 15.944, 6.905, 7.819 Å; angles 90.00, 90.00, 90.00 degrees
Space group Ima2 (No. 46)
Inequivalent atoms, fractional coordinates:
Li (0.062, 0.141, 0.000) (multiplicity 8)
Li (0.164, 0.217, 0.745) (multiplicity 8)
Li (0.250, 0.584, 0.125) (multiplicity 4)
Ca (0.112, 0.677, 0.834) (multiplicity 8)
Pb (0.000, 0.000, 0.656) (multiplicity 4)
Pb (0.250, 0.504, 0.522) (multiplicity 4)

Output
* Fermi-level density of states: 2.7 states/eV/f.u.
* total energy: -2.6135 eV/atom